YRu2Cl (GGA-PBE, relaxed); crystal system = monoclinic; symmetry = P2/m (10); N(E_F) = 4.75 states/eV per cell; raw total energy = -6.66 eV/atom; formation energy (no corrections) = 0.05 eV per atom
1.0
-1.398 4.581 2.493
0.477 -1.396 2.833
4.106 1.323 -0.128
Cl Ru Y
1 2 1
direct
0.500 0.750 0.750 Cl
0.000 0.571 0.496 Ru
0.000 0.929 0.004 Ru
0.500 0.250 0.250 Y

=====

Rb2YSbO6 (GGA-PBE, relaxed); crystal system = cubic; symmetry = Fm-3m (225); N(E_F) = 7.42 states/eV per cell; raw total energy = -6.01 eV/atom; formation energy (no corrections) = -1.79 eV per atom
1.0
-1.268 5.406 2.478
0.463 -2.436 5.552
8.388 1.904 0.136
O Rb Sb Y
12 4 2 2
direct
0.266 0.484 0.500 O
0.500 0.250 0.734 O
0.734 0.016 0.500 O
0.734 0.484 0.500 O
0.234 0.516 0.000 O
0.000 0.750 0.234 O
0.000 0.750 0.766 O
0.766 0.516 0.000 O
0.266 0.016 0.500 O
0.234 0.984 0.000 O
0.500 0.250 0.266 O
0.766 0.984 0.000 O
0.500 0.750 0.250 Rb
0.500 0.750 0.750 Rb
0.000 0.250 0.250 Rb
0.000 0.250 0.750 Rb
0.500 0.250 0.500 Sb
0.000 0.750 0.000 Sb
0.000 0.750 0.500 Y
0.500 0.250 0.000 Y

=====

NaSrEuGe (GGA-PBE, relaxed); crystal system = cubic; symmetry = F-43m (216); N(E_F) = 11.99 states/eV per cell; energy of formation = -276 meV per atom; raw total energy = -4.75 eV/atom
1.0
5.564 0.000 0.000
2.782 4.819 0.000
2.782 1.606 4.543
Eu Sr Na Ge
1 1 1 1
direct
0.000 0.000 0.000 Eu
0.500 0.500 0.500 Sr
0.750 0.750 0.750 Na
0.250 0.250 0.250 Ge

=====

BeSI2 (GGA-PBE, relaxed); crystal system = cubic; symmetry = Fm-3m (225); N(E_F) = 3.69 states/eV per cell; raw total energy = -1.78 eV/atom; formation energy (no corrections) = 0.96 eV per atom
1.0
0.000 3.579 3.579
3.579 0.000 3.579
3.579 3.579 0.000
S I Be
1 2 1
direct
0.500 0.500 0.500 S
0.750 0.750 0.750 I
0.250 0.250 0.250 I
0.000 0.000 0.000 Be

=====

AcCd2SbPd4 (GGA-PBE, relaxed); crystal system = trigonal; symmetry = R-3m (166); N(E_F) = 5.06 states/eV per cell; raw total energy = -4.34 eV/atom; formation energy (no corrections) = -0.49 eV per atom
1.0
-1.786 -0.578 -4.261
0.165 -4.179 -2.047
-8.533 -3.682 1.532
Sb Pd Cd Ac
1 4 2 1
direct
0.500 0.500 0.500 Sb
0.400 0.400 0.801 Pd
0.600 0.600 0.199 Pd
0.133 0.133 0.601 Pd
0.867 0.867 0.399 Pd
0.757 0.757 0.730 Cd
0.243 0.243 0.270 Cd
0.000 0.000 0.000 Ac

=====

MgTl2InBi2 (GGA-PBE, relaxed); crystal system = orthorhombic; symmetry = Pmc2_1 (26); N(E_F) = 4.77 states/eV per cell; energy of formation = -38 meV per atom; raw total energy = -2.84 eV/atom
1.0
4.851 0.000 0.000
0.000 7.105 0.000
0.000 0.000 10.537
Mg Tl Bi In
2 4 4 2
direct
0.000 0.924 0.478 Mg
0.000 0.424 0.522 Mg
0.000 0.345 0.164 Tl
0.500 0.092 0.012 Tl
0.000 0.845 0.836 Tl
0.500 0.592 0.988 Tl
0.500 0.210 0.379 Bi
0.000 0.827 0.190 Bi
0.500 0.710 0.621 Bi
0.000 0.327 0.810 Bi
0.500 0.648 0.328 In
0.500 0.148 0.672 In